# Li2PaInCl8, optimized geometry, DFT PBE
data_Li2PaInCl8
_chemical_formula_sum 'Li2 Pa1 In1 Cl8'
_symmetry_space_group_name_H-M 'P -1'
_symmetry_Int_Tables_number 2
_cell_length_a 6.327
_cell_length_b 6.334
_cell_length_c 9.376
_cell_angle_alpha 89.95
_cell_angle_beta 89.94
_cell_angle_gamma 79.46
loop_
_symmetry_equiv_pos_as_xyz
'x,y,z'
'-x,-y,-z'
loop_
_atom_site_label
_atom_site_fract_x
_atom_site_fract_y
_atom_site_fract_z
Li1 0.000 0.000 0.159
Pa1 0.500 0.500 0.500
In1 0.500 0.500 0.000
Cl1 0.185 0.179 0.000
Cl2 0.248 0.237 0.500
Cl3 0.275 0.716 0.701
Cl4 0.276 0.717 0.299
# ΔE_f (raw) in eV/atom: -1.6251
# E in eV per cell: -50.3

---

# Li2InPbCl8, optimized geometry, DFT PBE
data_Li2InPbCl8
_chemical_formula_sum 'Li2 In1 Pb1 Cl8'
_symmetry_space_group_name_H-M 'P -3'
_symmetry_Int_Tables_number 147
_cell_length_a 7.2411
_cell_length_b 7.2411
_cell_length_c 7.7151
_cell_angle_alpha 90.00
_cell_angle_beta 90.00
_cell_angle_gamma 120.00
loop_
_symmetry_equiv_pos_as_xyz
'x,y,z'
'-x,-y,-z'
'-y,x-y,z'
'y,-x+y,-z'
'-x+y,-x,z'
'x-y,x,-z'
loop_
_atom_site_label
_atom_site_fract_x
_atom_site_fract_y
_atom_site_fract_z
Li1 0.3333 0.6667 0.2472
In1 0.0000 0.0000 0.0000
Pb1 0.0000 0.0000 0.5000
Cl1 0.0542 0.2985 0.2061
Cl2 0.3333 0.6667 0.5449
# ΔE_f (raw) in eV/atom: -1.0844
# E in eV per cell: -38.1
# DOS at the Fermi energy in states/eV/f.u.: 9.38

---

# Li2PmInCl6, optimized geometry, DFT PBE
data_Li2PmInCl6
_chemical_formula_sum 'Li6 Pm3 In3 Cl18'
_symmetry_space_group_name_H-M 'R 3'
_symmetry_Int_Tables_number 146
_symmetry_space_group_name_Hall 'R 3'
_cell_length_a 6.9674
_cell_length_b 6.9674
_cell_length_c 18.7516
_cell_angle_alpha 90.00
_cell_angle_beta 90.00
_cell_angle_gamma 120.00
loop_
_atom_site_label
_atom_site_fract_x
_atom_site_fract_y
_atom_site_fract_z
Li1 0.0000 0.0000 0.0000
Li2 0.0000 0.0000 0.4945
Pm1 0.0000 0.0000 0.7977
In1 0.0000 0.0000 0.2759
Cl1 0.0028 0.3572 0.7358
Cl2 0.0996 0.7569 0.5638
# ΔE_f (raw) in eV/atom: -1.7713
# E in eV per cell: -120.3
# DOS at the Fermi energy in states/eV/f.u.: 0.00

---

# LiPu2InCl8, optimized geometry, DFT PBE
data_LiPu2InCl8
_chemical_formula_sum 'Li1 Pu2 In1 Cl8'
_symmetry_space_group_name_H-M 'P 1 2/m 1'
_symmetry_Int_Tables_number 10
_cell_length_a 6.625
_cell_length_b 8.487
_cell_length_c 6.776
_cell_angle_alpha 90.00
_cell_angle_beta 96.48
_cell_angle_gamma 90.00
loop_
_symmetry_equiv_pos_as_xyz
'x,y,z'
'-x,-y,-z'
'-x,y,-z'
'x,-y,z'
loop_
_atom_site_label
_atom_site_fract_x
_atom_site_fract_y
_atom_site_fract_z
Li1 0.000 0.000 0.000
Pu1 0.500 0.242 0.500
In1 0.000 0.500 0.000
Cl1 0.229 0.214 0.176
Cl2 0.292 0.000 0.654
Cl3 0.298 0.500 0.639
# ΔE_f (raw) in eV/atom: -1.6759
# E in eV per cell: -68.2
# DOS at the Fermi energy in states/eV/f.u.: 21.50

---

# LiPuIn2Cl6, optimized geometry, DFT PBE
data_LiPuIn2Cl6
_chemical_formula_sum 'Li1 Pu1 In2 Cl6'
_symmetry_space_group_name_H-M 'P 1'
_symmetry_Int_Tables_number 1
_cell_length_a 7.397
_cell_length_b 7.399
_cell_length_c 7.471
_cell_angle_alpha 119.68
_cell_angle_beta 90.02
_cell_angle_gamma 119.86
loop_
_symmetry_equiv_pos_as_xyz
'x,y,z'
loop_
_atom_site_label
_atom_site_fract_x
_atom_site_fract_y
_atom_site_fract_z
Li1 0.000 0.000 0.000
Pu1 0.506 0.011 0.497
In1 0.227 0.457 0.783
In2 0.726 0.456 0.263
Cl1 0.188 0.505 0.225
Cl2 0.263 0.090 0.307
Cl3 0.322 0.090 0.819
Cl4 0.692 0.962 0.175
Cl5 0.775 0.961 0.686
Cl6 0.826 0.520 0.741
# ΔE_f (raw) in eV/atom: -1.4380
# E in eV per cell: -47.2
# DOS at the Fermi energy in states/eV/f.u.: 9.95

---

# Li2PuInCl8, optimized geometry, DFT PBE
data_Li2PuInCl8
_chemical_formula_sum 'Li2 Pu1 In1 Cl8'
_symmetry_space_group_name_H-M 'P 1 2/m 1'
_symmetry_Int_Tables_number 10
_cell_length_a 6.207
_cell_length_b 7.990
_cell_length_c 6.314
_cell_angle_alpha 90.00
_cell_angle_beta 94.94
_cell_angle_gamma 90.00
loop_
_symmetry_equiv_pos_as_xyz
'x,y,z'
'-x,-y,-z'
'-x,y,-z'
'x,-y,z'
loop_
_atom_site_label
_atom_site_fract_x
_atom_site_fract_y
_atom_site_fract_z
Li1 0.000 0.245 0.000
Pu1 0.500 0.500 0.500
In1 0.500 0.000 0.500
Cl1 0.200 0.500 0.173
Cl2 0.214 0.000 0.190
Cl3 0.294 0.235 0.679
# ΔE_f (raw) in eV/atom: -1.5615
# E in eV per cell: -54.4
# DOS at the Fermi energy in states/eV/f.u.: 9.11

---

# Rb3LiIn2Cl9, optimized geometry, DFT PBE
data_Rb3LiIn2Cl9
_chemical_formula_sum 'Rb3 Li1 In2 Cl9'
_symmetry_space_group_name_H-M 'P -3 m 1'
_symmetry_Int_Tables_number 164
_symmetry_space_group_name_Hall '-P 3 2"'
_cell_length_a 7.3991
_cell_length_b 7.3991
_cell_length_c 9.1155
_cell_angle_alpha 90.00
_cell_angle_beta 90.00
_cell_angle_gamma 120.00
loop_
_atom_site_label
_atom_site_fract_x
_atom_site_fract_y
_atom_site_fract_z
Rb1 0.0000 0.0000 0.0000
Rb2 0.3333 0.6667 0.6572
Li1 0.0000 0.0000 0.5000
In1 0.3333 0.6667 0.1786
Cl1 0.0000 0.5000 0.0000
Cl2 0.1654 0.3309 0.3336
# ΔE_f (raw) in eV/atom: -1.5222
# E in eV per cell: -49.7
# DOS at the Fermi energy in states/eV/f.u.: 2.19

---

# RbLi2InCl6, optimized geometry, DFT PBE
data_RbLi2InCl6
_chemical_formula_sum 'Rb3 Li6 In3 Cl18'
_symmetry_space_group_name_H-M 'R -3'
_symmetry_Int_Tables_number 148
_symmetry_space_group_name_Hall '-R 3'
_cell_length_a 6.4862
_cell_length_b 6.4862
_cell_length_c 23.7242
_cell_angle_alpha 90.00
_cell_angle_beta 90.00
_cell_angle_gamma 120.00
loop_
_atom_site_label
_atom_site_fract_x
_atom_site_fract_y
_atom_site_fract_z
Rb1 0.0000 0.0000 0.0000
Li1 0.0000 0.0000 0.1710
In1 0.0000 0.0000 0.5000
Cl1 0.0003 0.3269 0.4400
# ΔE_f (raw) in eV/atom: -1.5869
# E in eV per cell: -103.4
# DOS at the Fermi energy in states/eV/f.u.: 0.00

---

# RbLiInCl3, optimized geometry, DFT PBE
data_RbLiInCl3
_chemical_formula_sum 'Rb2 Li2 In2 Cl6'
_symmetry_space_group_name_H-M 'P 1 21/m 1'
_symmetry_Int_Tables_number 11
_cell_length_a 9.587
_cell_length_b 4.256
_cell_length_c 9.845
_cell_angle_alpha 90.00
_cell_angle_beta 94.83
_cell_angle_gamma 90.00
loop_
_symmetry_equiv_pos_as_xyz
'x,y,z'
'-x,-y,-z'
'-x,y+1/2,-z'
'x,-y+1/2,z'
loop_
_atom_site_label
_atom_site_fract_x
_atom_site_fract_y
_atom_site_fract_z
Rb1 0.187 0.250 0.148
Li1 0.410 0.750 0.906
In1 0.179 0.250 0.625
Cl1 0.119 0.750 0.388
Cl2 0.164 0.750 0.879
Cl3 0.480 0.750 0.147
# ΔE_f (raw) in eV/atom: -1.5129
# E in eV per cell: -40.5
# DOS at the Fermi energy in states/eV/f.u.: 0.00

---

# Rb2LiInCl6, optimized geometry, DFT PBE
data_Rb2LiInCl6
_chemical_formula_sum 'Rb4 Li2 In2 Cl12'
_symmetry_space_group_name_H-M 'I 4/m m m'
_symmetry_Int_Tables_number 139
_symmetry_space_group_name_Hall '-I 4 2'
_cell_length_a 7.678
_cell_length_b 7.678
_cell_length_c 9.094
_cell_angle_alpha 90.00
_cell_angle_beta 90.00
_cell_angle_gamma 90.00
loop_
_atom_site_label
_atom_site_fract_x
_atom_site_fract_y
_atom_site_fract_z
Rb1 0.000 0.500 0.250
Li1 0.000 0.000 0.000
In1 0.000 0.000 0.500
Cl1 0.000 0.000 0.235
Cl2 0.237 0.237 0.500
# ΔE_f (raw) in eV/atom: -1.5665
# E in eV per cell: -66.7
# E above lowest polymorph in meV/atom: 51
# DOS at the Fermi energy in states/eV/f.u.: 0.00

---

# Rb2LiInCl6, optimized geometry, DFT PBE
data_Rb2LiInCl6
_chemical_formula_sum 'Rb8 Li4 In4 Cl24'
_symmetry_space_group_name_H-M 'F m -3 m'
_symmetry_Int_Tables_number 225
_symmetry_space_group_name_Hall '-F 4 2 3'
_cell_length_a 10.317
_cell_length_b 10.317
_cell_length_c 10.317
_cell_angle_alpha 90.00
_cell_angle_beta 90.00
_cell_angle_gamma 90.00
loop_
_atom_site_label
_atom_site_fract_x
_atom_site_fract_y
_atom_site_fract_z
Rb1 0.250 0.250 0.250
Li1 0.000 0.000 0.000
In1 0.000 0.000 0.500
Cl1 0.000 0.000 0.253
# ΔE_f (raw) in eV/atom: -1.6165
# E in eV per cell: -135.3
# E above lowest polymorph in meV/atom: 1
# DOS at the Fermi energy in states/eV/f.u.: 0.00

---

# Rb2LiInCl6, optimized geometry, DFT PBE
data_Rb2LiInCl6
_chemical_formula_sum 'Rb4 Li2 In2 Cl12'
_symmetry_space_group_name_H-M 'P 1 21/c 1'
_symmetry_Int_Tables_number 14
_cell_length_a 7.278
_cell_length_b 7.267
_cell_length_c 12.663
_cell_angle_alpha 90.00
_cell_angle_beta 125.04
_cell_angle_gamma 90.00
loop_
_symmetry_equiv_pos_as_xyz
'x,y,z'
'-x,-y,-z'
'-x,y+1/2,-z+1/2'
'x,-y+1/2,z+1/2'
loop_
_atom_site_label
_atom_site_fract_x
_atom_site_fract_y
_atom_site_fract_z
Rb1 0.248 0.013 0.250
Li1 0.000 0.000 0.500
In1 0.500 0.000 0.000
Cl1 0.217 0.224 0.986
Cl2 0.264 0.730 0.987
Cl3 0.281 0.501 0.254
# ΔE_f (raw) in eV/atom: -1.6173
# E in eV per cell: -67.7
# E above lowest polymorph in meV/atom: 0
# DOS at the Fermi energy in states/eV/f.u.: 0.00